Record 1
{
  "formula": "Y8Re",
  "functional": "PBE",
  "state": "relaxed",
  "cell": [[9.083, 0.000, 0.000], [-4.541, 7.866, 0.000], [0.000, 0.000, 3.747]],
  "species": ["Y", "Y", "Y", "Y", "Y", "Y", "Y", "Y", "Re"],
  "frac_coords": [[0.000, 0.244, 0.000], [0.000, 0.633, 0.500], [0.244, 0.000, 0.000], [0.333, 0.667, 0.000], [0.367, 0.367, 0.500], [0.633, 0.000, 0.500], [0.667, 0.333, 0.000], [0.756, 0.756, 0.000], [0.000, 0.000, 0.500]],
  "crystal_system": "hexagonal",
  "formation_energy_ev_per_atom": 0.070,
  "magnetic_moment_mub_per_fu": 0.0
}



Record 2
{
  "formula": "FeReNiSb",
  "functional": "PBE",
  "state": "relaxed",
  "cell": [[0.000, 3.064, 3.064], [3.064, 0.000, 3.064], [3.064, 3.064, 0.000]],
  "species": ["Fe", "Re", "Ni", "Sb"],
  "frac_coords": [[0.000, 0.000, 0.000], [0.500, 0.500, 0.500], [0.250, 0.250, 0.250], [0.750, 0.750, 0.750]],
  "crystal_system": "cubic",
  "polymorph_energy_mev_per_atom": 0,
  "magnetic_moment_mub_per_fu": 2.5
}



Record 3
{
  "formula": "Ba2PdAu",
  "functional": "PBE",
  "state": "relaxed",
  "cell": [[0.000, 3.807, 3.807], [3.807, 0.000, 3.807], [3.807, 3.807, 0.000]],
  "species": ["Ba", "Ba", "Pd", "Au"],
  "frac_coords": [[0.000, 0.000, 0.000], [0.250, 0.250, 0.250], [0.500, 0.500, 0.500], [0.750, 0.750, 0.750]],
  "e_tot_ev_per_atom": -3.39,
  "crystal_system": "cubic"
}



Record 4
{
  "formula": "Ho2TmAs3",
  "functional": "PBE",
  "state": "relaxed",
  "cell": [[4.083, 0.000, 0.000], [-2.041, 3.536, 0.000], [0.000, 0.000, 9.984]],
  "species": ["Ho", "Ho", "Tm", "As", "As", "As"],
  "frac_coords": [[0.333, 0.667, 0.333], [0.667, 0.333, 0.667], [0.000, 0.000, 0.000], [0.000, 0.000, 0.500], [0.333, 0.667, 0.835], [0.667, 0.333, 0.165]],
  "e_tot_ev_per_atom": -6.12,
  "crystal_system": "trigonal",
  "magnetic_moment_mub_per_fu": 0.0
}